Compound: BaLa
Source: Alexandria via LeMat-Bulk
Functional: PBE
Structure: relaxed

Cell: 7.9583 7.9583 9.4300 Å, 76.72 76.72 29.02°
Fractional positions:
1 La 0.2885 0.2885 0.9421
2 La 0.9238 0.9238 0.6086
3 Ba 0.6679 0.6679 0.6689
4 La 0.3438 0.3438 0.3399
5 Ba 0.9924 0.9924 0.9938
6 Ba 0.6169 0.6169 0.2801

- total magnetic moment (μB per formula unit) = 0.0
- formation energy (eV per formula unit) = 0.3

***

Compound: TbTmPd
Source: Alexandria via LeMat-Bulk
Functional: PBE
Structure: relaxed

Cell: 4.8647 4.8647 4.8647 Å, 60.00 60.00 60.00°
Fractional positions:
1 Tm 0.0000 0.0000 0.0000
2 Pd 0.2500 0.2500 0.2500
3 Tb 0.5000 0.5000 0.5000

- total magnetic moment (μB per formula unit) = 0.0
- formation energy (eV per formula unit) = -1.5

***

Compound: ThTeS2
Source: Alexandria via LeMat-Bulk
Functional: PBE
Structure: relaxed

Cell: 4.4709 9.4925 6.1475 Å, 90.00 90.00 103.62°
Fractional positions:
1 Te 0.9880 0.9759 0.7500
2 S 0.3257 0.6513 0.0117
3 S 0.6743 0.3487 0.5117
4 Th 0.8042 0.6084 0.7500
5 S 0.3257 0.6513 0.4883
6 S 0.6743 0.3487 0.9883
7 Te 0.0120 0.0241 0.2500
8 Th 0.1958 0.3916 0.2500

- formation energy without anion corrections (eV per atom) = -1.168
- total magnetic moment (μB per formula unit) = 0.0

***

Compound: Mg2C
Source: Alexandria via LeMat-Bulk
Functional: PBE
Structure: relaxed

Cell: 5.8940 5.8940 5.8940 Å, 31.45 31.45 31.45°
Fractional positions:
1 Mg 0.7460 0.7460 0.7460
2 C 0.9998 0.9998 0.9998
3 Mg 0.5876 0.5876 0.5876

- total magnetic moment (μB per formula unit) = 0.3
- formation energy (eV per formula unit) = 2.3

***

Number 1: uncorrected energy -3.250 eV/atom, energy relative to the lowest polymorph listed for this composition 0.078 eV per atom, Fermi-level density of states 1.5944 states/eV/atom. Number 2: uncorrected energy -5.255 eV/atom, energy relative to the lowest polymorph listed for this composition 0.076 eV per atom, Fermi-level density of states 1.1271 states/eV/atom. Number 3: uncorrected energy -5.872 eV/atom, energy relative to the lowest polymorph listed for this composition 0.000 eV per atom, Fermi-level density of states 0.5444 states/eV/atom. Number 4: uncorrected energy -3.383 eV/atom, energy relative to the lowest polymorph listed for this composition 0.506 eV per atom, Fermi-level density of states 0.5844 states/eV/atom.